Computed, not measured: an optimized crystal structure of LaTiTcO6 at the PBE-GGA level of DFT.

Lattice parameters (Å, degrees): 4.932 4.932 9.798 90.00 90.00 90.00
Positions (direct):
Tc 0.000 0.000 0.664
Tc 0.500 0.500 0.164
O 0.670 0.670 0.001
O 0.830 0.170 0.501
O 0.267 0.267 0.309
O 0.170 0.830 0.501
O 0.233 0.767 0.809
O 0.741 0.741 0.695
O 0.767 0.233 0.809
O 0.759 0.241 0.195
O 0.330 0.330 0.001
O 0.259 0.259 0.695
O 0.733 0.733 0.309
O 0.241 0.759 0.195
Ti 0.000 0.000 0.342
Ti 0.500 0.500 0.842
La 0.000 0.000 0.984
La 0.500 0.500 0.484

Computed properties:
As for the symmetry: No. 102. Its total magnetic moment is 0.00 μB per cell. As for the formation energy from raw total energies: -21.54 eV per formula unit.